Entry 1:
Computed, not measured: crystalline Sc3AlN at its relaxed geometry at the GGA-PBE level of DFT.

a = 11.675 Å, b = 8.115 Å, c = 8.115 Å
α = 80.43°, β = 124.62°, γ = 55.38°
Element x y z (fractional)
Sc 0.581 0.858 0.799
Sc 0.419 0.142 0.201
Sc 0.418 0.655 0.730
Sc 0.909 0.040 0.092
Sc 0.091 0.960 0.908
Sc 0.082 0.230 0.155
Sc 0.919 0.299 0.358
Sc 0.918 0.770 0.845
Sc 0.591 0.592 0.540
Sc 0.409 0.408 0.460
Sc 0.081 0.701 0.642
Sc 0.582 0.345 0.270
N 0.250 0.815 0.315
N 0.250 0.554 0.054
N 0.750 0.185 0.685
N 0.750 0.446 0.946
Al 0.569 0.147 0.986
Al 0.931 0.486 0.647
Al 0.069 0.514 0.353
Al 0.431 0.853 0.014

Results
**Total magnetization**: 0.0 μB per formula unit
**Final energy**: -141.05 eV for the cell shown
**Formation energy (no corrections)**: -0.840 eV per atom

***

Entry 2:
Computed, not measured: crystalline ReSbRu2 at its relaxed geometry at the GGA-PBE level of DFT.

a = 2.931 Å, b = 2.931 Å, c = 7.382 Å
α = 90.00°, β = 90.00°, γ = 90.00°
Element x y z (fractional)
Sb 0.500 0.500 0.250
Ru 0.000 0.000 0.513
Ru 0.000 0.000 0.987
Re 0.500 0.500 0.750

Results
**Total magnetization**: 0.0 μB per formula unit
**Final energy**: -34.38 eV for the cell shown
**Formation energy (no corrections)**: 0.185 eV per atom

***

Entry 3:
Computed, not measured: crystalline Sc5In4Au at its relaxed geometry at the GGA-PBE level of DFT.

a = 3.357 Å, b = 3.357 Å, c = 19.586 Å
α = 90.00°, β = 90.00°, γ = 90.00°
Element x y z (fractional)
In 0.000 0.000 0.604
In 0.000 0.000 0.190
In 0.000 0.000 0.396
In 0.000 0.000 0.810
Sc 0.500 0.500 0.707
Sc 0.500 0.500 0.500
Sc 0.500 0.500 0.087
Sc 0.500 0.500 0.293
Sc 0.500 0.500 0.913
Au 0.000 0.000 0.000

Results
**Formation enthalpy at 0 K**: -0.507 eV/atom
**Total magnetization**: 0.2 μB per formula unit
**Final energy**: -50.96 eV for the cell shown

***

Entry 4:
Computed, not measured: crystalline PmMgAlBi at its relaxed geometry at the GGA-PBE level of DFT.

a = 5.309 Å, b = 5.309 Å, c = 5.309 Å
α = 60.00°, β = 60.00°, γ = 60.00°
Element x y z (fractional)
Mg 0.750 0.750 0.750
Al 0.500 0.500 0.500
Pm 0.250 0.250 0.250
Bi 0.000 0.000 0.000

Results
**Formation enthalpy at 0 K**: -0.157 eV/atom
**Total magnetization**: 0.0 μB per formula unit
**Final energy**: -14.60 eV for the cell shown

***

Entry 5:
Computed, not measured: crystalline ZrTl2AgMo at its relaxed geometry at the GGA-PBE level of DFT.

a = 5.194 Å, b = 5.060 Å, c = 5.194 Å
α = 90.00°, β = 90.00°, γ = 90.00°
Element x y z (fractional)
Mo 0.000 0.000 0.000
Tl 0.500 0.000 0.000
Tl 0.000 0.000 0.500
Ag 0.000 0.500 0.000
Zr 0.500 0.500 0.500

Results
**Formation enthalpy at 0 K**: 1.207 eV/atom
**Total magnetization**: 0.7 μB per formula unit
**Final energy**: -20.93 eV for the cell shown

***

Entry 6:
Computed, not measured: crystalline MnZn2Au at its relaxed geometry at the GGA-PBE level of DFT.

a = 4.627 Å, b = 4.626 Å, c = 4.624 Å
α = 126.96°, β = 126.97°, γ = 78.15°
Element x y z (fractional)
Zn 0.751 0.249 0.500
Zn 0.000 0.000 0.000
Mn 0.250 0.750 0.500
Au 0.500 0.500 0.000

Results
**Formation enthalpy at 0 K**: -0.075 eV/atom
**Total magnetization**: 3.7 μB per formula unit
**Final energy**: -15.29 eV for the cell shown

***

Entry 7:
Computed, not measured: crystalline Y3ReCl at its relaxed geometry at the GGA-PBE level of DFT.

a = 5.471 Å, b = 5.471 Å, c = 5.471 Å
α = 90.00°, β = 90.00°, γ = 90.00°
Element x y z (fractional)
Cl 0.500 0.500 0.500
Y 0.000 0.000 0.500
Y 0.500 0.000 0.000
Y 0.000 0.500 0.000
Re 0.000 0.000 0.000

Results
**Offset from the most stable computed form**: 0.000 eV/atom
**Total magnetization**: 0.0 μB per formula unit
**Final energy**: -33.14 eV for the cell shown
**Formation energy (no corrections)**: 0.110 eV per atom

***

Entry 8:
Computed, not measured: crystalline LiTaP2 at its relaxed geometry at the GGA-PBE level of DFT.

a = 4.520 Å, b = 4.520 Å, c = 4.520 Å
α = 132.73°, β = 119.57°, γ = 80.09°
Element x y z (fractional)
P 0.984 0.984 0.000
P 0.516 0.516 0.000
Ta 0.250 0.750 0.500
Li 0.750 0.250 0.500

Results
**Formation enthalpy at 0 K**: -0.274 eV/atom
**Offset from the most stable computed form**: 0.294 eV/atom
**Total magnetization**: 0.0 μB per formula unit
**Final energy**: -25.68 eV for the cell shown